Arrangement 1

Here is a relaxed KCa2Os crystal from Alexandria via LeMat-Bulk. Energies are from GGA-PBEsol.

abc: 3.200 4.752 8.857
angles: 90.00 90.05 90.00
Sites, in units of the cell vectors:
Ca 0.874 0.000 0.090
Ca 0.873 0.500 0.838
K 0.379 0.000 0.457
Os 0.374 0.500 0.114

## Properties
- symmetry = Pm (6)
- crystal system = monoclinic
- theoretical density (g cm⁻³) = 3.815

Arrangement 2

Here is a relaxed KCa2Os crystal from Alexandria via LeMat-Bulk. Energies are from GGA-PBEsol.

abc: 5.229 5.229 5.229
angles: 60.00 60.00 60.00
Sites, in units of the cell vectors:
Ca 0.000 0.000 0.000
Ca 0.750 0.750 0.750
Os 0.250 0.250 0.250
K 0.500 0.500 0.500

## Properties
- symmetry = F-43m (216)
- crystal system = cubic
- theoretical density (g cm⁻³) = 5.083

The structures above, arranged from the most stable to the least stable: arrangement 1, arrangement 2.